1.
Computed, not measured: a relaxed structure of DyEr2N at the GGA-PBE level of DFT.

Summary:
The calculation puts the total energy at -25.3 eV/cell. For the uncorrected formation energy, the calculation gives -77.96 kJ/mol of atoms.

Geometry as POSCAR:
```
DyEr2N
1.0
3.446 0.000 0.000
1.723 2.984 0.000
1.723 0.995 8.886
Dy Er N
1 2 1
direct
0.500 0.500 0.500
0.283 0.283 0.152
0.717 0.717 0.848
0.000 0.000 0.000
```

2.
Computed, not measured: a relaxed structure of CoIr2N at the GGA-PBE level of DFT.

Summary:
The calculation puts the total energy at -59.9 eV/cell. For the uncorrected formation energy, the calculation gives 77.34 kJ/mol of atoms.

Geometry as POSCAR:
```
CoIr2N
1.0
-5.283 0.397 0.467
-0.387 -5.303 0.130
-2.461 -2.378 4.461
N Ir Co
2 4 2
direct
0.250 0.750 0.500
0.500 0.500 0.000
0.556 0.125 0.250
0.375 0.444 0.750
0.194 0.625 0.250
0.875 0.806 0.750
0.750 0.250 0.500
0.000 0.000 0.000
```

3.
Computed, not measured: a relaxed structure of BaAsBr2Cl at the GGA-PBE level of DFT.

Summary:
The calculation puts the total energy at -14.6 eV/cell. For the uncorrected formation energy, the calculation gives -53.91 kJ/mol of atoms.

Geometry as POSCAR:
```
BaAsBr2Cl
1.0
6.289 0.000 0.000
0.000 6.289 0.000
0.000 0.000 4.700
Br Ba Cl As
2 1 1 1
direct
0.500 0.000 0.000
0.000 0.500 0.000
0.500 0.500 0.500
0.000 0.000 0.000
0.000 0.000 0.500
```

4.
Computed, not measured: a relaxed structure of NdEu2I at the GGA-PBE level of DFT.

Summary:
The calculation puts the total energy at -28.7 eV/cell. For the uncorrected formation energy, the calculation gives -45.18 kJ/mol of atoms.

Geometry as POSCAR:
```
NdEu2I
1.0
3.828 0.000 0.000
0.000 3.828 0.000
0.000 0.000 10.298
Eu Nd I
2 1 1
direct
0.000 0.000 0.771
0.000 0.000 0.229
0.500 0.500 0.500
0.500 0.500 0.000
```

5.
Computed, not measured: a relaxed structure of Ni2PtS6 at the GGA-PBE level of DFT.

Summary:
The calculation puts the total energy at -44.6 eV/cell. For the uncorrected formation energy, the calculation gives -24.13 kJ/mol of atoms.

Geometry as POSCAR:
```
Ni2PtS6
1.0
-2.673 -0.438 -2.107
-1.592 -2.826 5.401
-1.223 9.929 -0.510
Ni S Pt
2 6 1
direct
0.331 0.661 0.162
0.669 0.339 0.838
0.972 0.945 0.247
0.346 0.691 0.398
0.654 0.309 0.602
0.692 0.384 0.074
0.308 0.616 0.926
0.028 0.055 0.753
0.000 0.000 0.500
```

6.
Computed, not measured: a relaxed structure of BaLiHg4 at the GGA-PBE level of DFT.

Summary:
Its formation energy is -0.32 eV/atom. For the offset from the most stable computed form, the calculation gives 0.0 meV/atom. The calculation puts the total energy at -27.8 eV/cell.

Geometry as POSCAR:
```
BaLiHg4
1.0
7.635 -1.073 -9.855
-3.095 5.028 -0.412
-2.256 3.461 20.115
Hg Ba Li
16 4 4
direct
0.581 0.565 0.450
0.004 0.499 0.086
0.996 0.501 0.914
0.999 0.026 0.590
0.575 0.007 0.125
0.425 0.993 0.875
0.419 0.435 0.550
0.696 0.220 0.629
0.731 0.889 0.790
0.301 0.514 0.934
0.724 0.838 0.940
0.304 0.780 0.371
0.699 0.486 0.066
0.276 0.162 0.060
0.001 0.974 0.410
0.269 0.111 0.210
0.997 0.875 0.769
0.508 0.750 0.253
0.003 0.125 0.231
0.492 0.250 0.747
0.284 0.494 0.786
0.694 0.184 0.490
0.716 0.506 0.214
0.306 0.816 0.510
```

7.
Computed, not measured: a relaxed structure of Mg2NbInB at the GGA-PBE level of DFT.

Summary:
Its formation energy is 0.11 eV/atom. The calculation puts the total energy at -22.1 eV/cell.

Geometry as POSCAR:
```
Mg2NbInB
1.0
-1.431 2.946 3.050
-4.254 -1.159 -0.877
0.212 -3.165 3.157
Mg Nb B In
2 1 1 1
direct
0.000 0.000 0.500
0.500 0.000 0.000
0.000 0.500 0.000
0.000 0.000 0.000
0.500 0.500 0.500
```

8.
Computed, not measured: a relaxed structure of Pr4Sm3Sc2 at the GGA-PBE level of DFT.

Summary:
Its formation energy is 0.11 eV/atom. For the offset from the most stable computed form, the calculation gives 7.8 meV/atom. The calculation puts the total energy at -45.0 eV/cell.

Geometry as POSCAR:
```
Pr4Sm3Sc2
1.0
-1.852 -2.735 -1.396
3.113 0.995 -1.474
12.993 -16.960 15.994
Pr Sm Sc
4 3 2
direct
0.000 0.000 0.776
0.667 0.333 0.430
0.667 0.333 0.204
0.000 0.000 0.548
0.000 0.000 0.315
0.667 0.333 0.661
0.000 0.000 0.982
0.667 0.333 0.082
0.667 0.333 0.879
```

9.
Computed, not measured: a relaxed structure of TiOs3Au at the GGA-PBE level of DFT.

Summary:
Its formation energy is 2.70 eV/atom. For the offset from the most stable computed form, the calculation gives 848.3 meV/atom. The calculation puts the total energy at -31.4 eV/cell.

Geometry as POSCAR:
```
TiOs3Au
1.0
4.810 0.000 0.000
0.000 4.810 0.000
0.000 0.000 4.810
Os Au Ti
3 1 1
direct
0.500 0.000 0.000
0.000 0.500 0.000
0.000 0.000 0.500
0.000 0.000 0.000
0.500 0.500 0.500
```

10.
Computed, not measured: a relaxed structure of Al2CrSn at the GGA-PBE level of DFT.

Summary:
Its formation energy is 0.45 eV/atom. The calculation puts the total energy at -38.6 eV/cell.

Geometry as POSCAR:
```
Al2CrSn
1.0
-2.133 -5.387 5.089
4.451 -5.165 -3.603
3.245 -4.593 2.340
Al Sn Cr
4 2 2
direct
0.605 0.125 0.250
0.145 0.625 0.250
0.875 0.855 0.750
0.375 0.395 0.750
0.000 0.000 0.000
0.750 0.250 0.500
0.500 0.500 0.000
0.250 0.750 0.500
```

11.
Computed, not measured: a relaxed structure of AlInBi2 at the GGA-PBE level of DFT.

Summary:
Its formation energy is 0.16 eV/atom. The calculation puts the total energy at -13.6 eV/cell.

Geometry as POSCAR:
```
AlInBi2
1.0
-2.810 0.467 2.390
2.077 -1.446 2.724
2.764 7.379 1.809
In Bi Al
1 2 1
direct
0.500 0.500 0.500
0.000 0.000 0.787
0.000 0.000 0.213
0.500 0.500 0.000
```

12.
Computed, not measured: a relaxed structure of MnAsPd3 at the GGA-PBE level of DFT.

Summary:
Its formation energy is 0.20 eV/atom. For the offset from the most stable computed form, the calculation gives 413.7 meV/atom. The calculation puts the total energy at -28.4 eV/cell.

Geometry as POSCAR:
```
MnAsPd3
1.0
-0.998 -1.214 4.356
3.493 -3.041 -0.047
2.872 3.276 1.571
Pd Mn As
3 1 1
direct
0.500 0.000 0.000
0.000 0.500 0.000
0.000 0.000 0.500
0.500 0.500 0.500
0.000 0.000 0.000
```

Number 1: magnetic moment 0.00 μB per atom. Number 2: magnetic moment 0.47 μB per atom. Number 3: magnetic moment 0.37 μB per atom. Number 4: magnetic moment 3.70 μB per atom. Number 5: magnetic moment 0.00 μB per atom. Number 6: magnetic moment 0.00 μB per atom. Number 7: magnetic moment 0.00 μB per atom. Number 8: magnetic moment 0.00 μB per atom. Number 9: magnetic moment 0.72 μB per atom. Number 10: magnetic moment 0.86 μB per atom. Number 11: magnetic moment 0.00 μB per atom. Number 12: magnetic moment 0.92 μB per atom.